[1]
RbBH: relaxed, PBE-GGA.

a = 6.0945 Å, b = 6.0945 Å, c = 4.9563 Å
α = 113.78°, β = 113.78°, γ = 69.88°
Closest atoms and distances in Å follow each position.
Sites, in units of the cell vectors:
Rb (0.2407, 0.2407, 0.2420)  4 H 3.05-3.10, 1 B 3.38
Rb (0.7593, 0.7593, 0.7580)  4 H 3.05-3.10, 1 B 3.38
B (0.3946, 0.6054, 0.0000)  1 B 1.58
B (0.6202, 0.3798, 0.0000)  2 H 1.23
H (0.7164, 0.2806, 0.2053)  1 B 1.23
H (0.7194, 0.2836, 0.7947)  1 B 1.23

## Properties
magnetic moment: 0.0000 μB per atom
excess energy over the best structure of this formula in the dataset: 0.160 eV/atom


[2]
HoHf2Mn9: relaxed, PBE-GGA.

a = 8.3411 Å, b = 8.3411 Å, c = 8.3411 Å
α = 35.18°, β = 35.18°, γ = 35.18°
Closest atoms and distances in Å follow each position.
Sites, in units of the cell vectors:
Ho (0.0000, 0.0000, 0.0000)  18 Mn 2.91-3.21
Hf (0.1434, 0.1434, 0.1434)  12 Mn 2.85-2.96, 3 Hf 3.11
Hf (0.8566, 0.8566, 0.8566)  12 Mn 2.85-2.96, 3 Hf 3.11
Mn (0.0812, 0.5870, 0.5870)  7 Mn 2.41-2.55
Mn (0.3338, 0.3338, 0.3338)  6 Mn 2.47
Mn (0.4130, 0.4130, 0.9188)  7 Mn 2.41-2.55
Mn (0.4130, 0.9188, 0.4130)  7 Mn 2.41-2.55
Mn (0.5000, 0.5000, 0.5000)  6 Mn 2.41
Mn (0.5870, 0.0812, 0.5870)  7 Mn 2.41-2.55
Mn (0.5870, 0.5870, 0.0812)  7 Mn 2.41-2.55
Mn (0.6662, 0.6662, 0.6662)  6 Mn 2.47
Mn (0.9188, 0.4130, 0.4130)  7 Mn 2.41-2.55

## Properties
magnetic moment: 0.3037 μB per atom
uncorrected energy: -108.4 eV per formula unit


[3]
La9PmTm2: relaxed, PBE-GGA.

a = 5.1998 Å, b = 5.1998 Å, c = 15.6258 Å
α = 90.00°, β = 90.00°, γ = 90.00°
Closest atoms and distances in Å follow each position.
Sites, in units of the cell vectors:
La (0.0000, 0.0000, 0.0000)  4 Pm 3.68, 8 La 3.70
La (0.0000, 0.0000, 0.3343)  8 La 3.67, 4 Tm 3.68
La (0.0000, 0.0000, 0.6657)  8 La 3.67, 4 Tm 3.68
La (0.0000, 0.5000, 0.1687)  8 La 3.67-3.70, 2 Tm 3.67, 2 Pm 3.70
La (0.0000, 0.5000, 0.5000)  4 Tm 3.67, 8 La 3.67-3.68
La (0.0000, 0.5000, 0.8313)  8 La 3.67-3.70, 2 Tm 3.67, 2 Pm 3.70
La (0.5000, 0.0000, 0.1687)  8 La 3.67-3.70, 2 Tm 3.67, 2 Pm 3.70
La (0.5000, 0.0000, 0.5000)  4 Tm 3.67, 8 La 3.67-3.68
La (0.5000, 0.0000, 0.8313)  8 La 3.67-3.70, 2 Tm 3.67, 2 Pm 3.70
Pm (0.5000, 0.5000, 0.0000)  12 La 3.68-3.70
Tm (0.5000, 0.5000, 0.3346)  12 La 3.67-3.68
Tm (0.5000, 0.5000, 0.6654)  12 La 3.67-3.68

## Properties
magnetic moment: 0.0000 μB per atom
uncorrected energy: -58.0 eV per formula unit


[4]
Ce2NdAl9: relaxed, PBE-GGA.

a = 9.4502 Å, b = 9.4502 Å, c = 9.4502 Å
α = 34.65°, β = 34.65°, γ = 34.65°
Closest atoms and distances in Å follow each position.
Sites, in units of the cell vectors:
Ce (0.1435, 0.1435, 0.1435)  12 Al 3.24-3.31, 3 Ce 3.48
Ce (0.8565, 0.8565, 0.8565)  12 Al 3.24-3.31, 3 Ce 3.48
Nd (0.0000, 0.0000, 0.0000)  18 Al 3.25-3.58
Al (0.0763, 0.5862, 0.5862)  7 Al 2.72-2.87
Al (0.3352, 0.3352, 0.3352)  6 Al 2.72-2.76
Al (0.4138, 0.4138, 0.9237)  7 Al 2.72-2.87
Al (0.4138, 0.9237, 0.4138)  7 Al 2.72-2.87
Al (0.5000, 0.5000, 0.5000)  6 Al 2.78
Al (0.5862, 0.0763, 0.5862)  7 Al 2.72-2.87
Al (0.5862, 0.5862, 0.0763)  7 Al 2.72-2.87
Al (0.6648, 0.6648, 0.6648)  6 Al 2.72-2.76
Al (0.9237, 0.4138, 0.4138)  7 Al 2.72-2.87

## Properties
magnetic moment: 0.1501 μB per atom
uncorrected energy: -54.7 eV per formula unit


Look up the magnetic moment of the first one. 0.0000 μB per atom